PmMnTeO5 | PBE+U | optimized geometry

Unit cell a=7.299 b=10.602 c=7.468 alpha=90.00 beta=106.03 gamma=90.00
Space group C2/c (No. 15)
One atom of each set of equivalent atoms:
Pm1 0.250 0.250 0.000 [4 per cell]
Mn1 0.000 0.000 0.250 [4 per cell]
Te1 0.000 0.498 0.250 [4 per cell]
O1 0.000 0.174 0.750 [4 per cell]
O2 0.024 0.373 0.076 [8 per cell]
O3 0.191 0.046 0.136 [8 per cell]

Results
Electronic total energy   -0.498 Ry per atom
Theoretical density   4.87 g/cm³
Volume   555.4 Å³/cell